1.
YTl after structural relaxation. Source: Alexandria, functional PBEsol.

a = 6.5367 Å, b = 6.5367 Å, c = 6.3555 Å
α = 118.41°, β = 118.41°, γ = 43.64°
Element x y z (fractional)
Y1 0.0000 0.0000 0.0000
Y2 0.3187 0.3187 0.5536
Y3 0.6483 0.6483 0.6852
Tl1 0.3277 0.3277 0.0581
Tl2 0.6697 0.6697 0.1981
Tl3 0.9778 0.9778 0.4720

ρ: 9.1 g cm⁻³
calculated volume: 161 Å³ per cell
DOS at the Fermi energy: 4.041 states/eV/cell
energy relative to the elements: -0.3645 eV/atom

2.
Tm2ZnPd after structural relaxation. Source: Alexandria, functional PBEsol.

a = 4.8511 Å, b = 4.8511 Å, c = 4.8511 Å
α = 60.00°, β = 60.00°, γ = 60.00°
Element x y z (fractional)
Tm1 0.2500 0.2500 0.2500
Tm2 0.7500 0.7500 0.7500
Zn1 0.0000 0.0000 0.0000
Pd1 0.5000 0.5000 0.5000

ρ: 10.5 g cm⁻³
calculated volume: 81 Å³ per cell
DOS at the Fermi energy: 1.992 states/eV/cell
energy relative to the elements: -0.6390 eV/atom

3.
Al2CrHg after structural relaxation. Source: Alexandria, functional PBEsol.

a = 9.0223 Å, b = 9.0223 Å, c = 9.0223 Å
α = 18.52°, β = 18.52°, γ = 18.52°
Element x y z (fractional)
Al1 0.2395 0.2395 0.2395
Al2 0.7605 0.7605 0.7605
Cr1 0.5000 0.5000 0.5000
Hg1 0.0000 0.0000 0.0000

ρ: 7.9 g cm⁻³
calculated volume: 65 Å³ per cell
DOS at the Fermi energy: 2.859 states/eV/cell
energy relative to the elements: 0.1815 eV/atom

4.
BaNa after structural relaxation. Source: Alexandria, functional PBEsol.

a = 11.7558 Å, b = 11.7558 Å, c = 11.7558 Å
α = 60.00°, β = 60.00°, γ = 60.00°
Element x y z (fractional)
Ba1 0.0658 0.0658 0.6842
Ba2 0.0658 0.6842 0.0658
Ba3 0.0658 0.6842 0.6842
Ba4 0.3158 0.3158 0.9342
Ba5 0.3158 0.9342 0.3158
Ba6 0.3158 0.9342 0.9342
Ba7 0.6842 0.0658 0.0658
Ba8 0.6842 0.0658 0.6842
Ba9 0.6842 0.6842 0.0658
Ba10 0.9342 0.3158 0.3158
Ba11 0.9342 0.3158 0.9342
Ba12 0.9342 0.9342 0.3158
Na1 0.0000 0.5000 0.5000
Na2 0.2958 0.2958 0.2958
Na3 0.2958 0.2958 0.6126
Na4 0.2958 0.6126 0.2958
Na5 0.3874 0.7042 0.7042
Na6 0.5000 0.0000 0.5000
Na7 0.5000 0.5000 0.0000
Na8 0.5000 0.5000 0.5000
Na9 0.6126 0.2958 0.2958
Na10 0.7042 0.3874 0.7042
Na11 0.7042 0.7042 0.3874
Na12 0.7042 0.7042 0.7042

ρ: 2.8 g cm⁻³
calculated volume: 1149 Å³ per cell
DOS at the Fermi energy: 21.642 states/eV/cell
energy relative to the elements: -0.0155 eV/atom

5.
ZrNiAs2 after structural relaxation. Source: Alexandria, functional PBEsol.

a = 5.2949 Å, b = 5.2949 Å, c = 3.8257 Å
α = 100.80°, β = 100.80°, γ = 39.05°
Element x y z (fractional)
Zr1 0.0000 0.0000 0.0000
Ni1 0.2170 0.2170 0.5780
As1 0.4340 0.4340 0.4646
As2 0.7162 0.7162 0.0371

ρ: 7.5 g cm⁻³
calculated volume: 66 Å³ per cell
DOS at the Fermi energy: 1.822 states/eV/cell
energy relative to the elements: -0.5894 eV/atom

6.
RhSe2Br after structural relaxation. Source: Alexandria, functional PBEsol.

a = 6.0575 Å, b = 6.0575 Å, c = 6.0575 Å
α = 151.27°, β = 133.13°, γ = 55.91°
Element x y z (fractional)
Rh1 0.0000 0.0000 0.0000
Se1 0.1896 0.6896 0.5000
Se2 0.8104 0.3104 0.5000
Br1 0.5000 0.5000 0.0000

ρ: 7.3 g cm⁻³
calculated volume: 77 Å³ per cell
DOS at the Fermi energy: 2.899 states/eV/cell
formation energy without anion corrections: 0.14 eV per atom
distance to the lowest polymorph of the same formula: 0.4710 eV/atom